# Tb12GaRu6 PBE relaxed
data_Tb12GaRu6
_chemical_formula_sum 'Tb24 Ga2 Ru12'
_cell_length_a 9.828
_cell_length_b 9.828
_cell_length_c 9.828
_cell_angle_alpha 90.00
_cell_angle_beta 90.00
_cell_angle_gamma 90.00
_space_group_name_H-M_alt 'I m -3'
_space_group_IT_number 204
_space_group_name_Hall '-I 2 2 3'
loop_
_atom_site_label
_atom_site_type_symbol
_atom_site_fract_x
_atom_site_fract_y
_atom_site_fract_z
Tb1 Tb 0.000 0.195 0.294
Ga1 Ga 0.000 0.000 0.000
Ru1 Ru 0.000 0.376 0.500
# Density of states at the Fermi level: 1.013 states/eV per atom
# Relative energy among the computed polymorphs: 0.0 meV/atom
# Crystal system: cubic
# Calculated density: 9.0 g/cm³
# ΔE_f: -5.26 eV/f.u.

=====

# Ni2PbCl PBE relaxed
data_Ni2PbCl
_chemical_formula_sum 'Ni8 Pb4 Cl4'
_cell_length_a 5.909
_cell_length_b 5.909
_cell_length_c 9.365
_cell_angle_alpha 90.00
_cell_angle_beta 90.00
_cell_angle_gamma 90.00
_space_group_name_H-M_alt 'I -4 2 d'
_space_group_IT_number 122
_space_group_name_Hall 'I -4 2bw'
loop_
_atom_site_label
_atom_site_type_symbol
_atom_site_fract_x
_atom_site_fract_y
_atom_site_fract_z
Ni1 Ni 0.189 0.250 0.125
Pb1 Pb 0.000 0.000 0.500
Cl1 Cl 0.000 0.000 0.000
# Formation energy (no corrections): 0.25 eV/atom
# Density of states at the Fermi level: 0.885 states/eV per atom
# Relative energy among the computed polymorphs: 203.5 meV/atom
# Crystal system: tetragonal
# Calculated density: 7.3 g/cm³

=====

Look up the density of states at the Fermi level of the second one. 0.885 states/eV per atom